GGA-PBEsol SrFe2Cl, relaxed; spin magnetization = 5.0 μB per formula unit; energy above the most stable polymorph in this dataset = 0 kJ/mol of formula units; symmetry = No. 38; density = 5.2 g/cm³
1.0
3.1923 0.0000 0.0000
0.0000 1.6537 7.0749
0.0000 -1.6537 7.0749
Sr Fe Cl
1 2 1
Cartesian
0.0000 0.0000 0.0000
0.0000 0.0000 3.0956
1.5961 0.0000 9.2983
1.5961 0.0000 5.1963